# AgPPt3

AgPPt3 after structural relaxation (PBE, Alexandria).

abc: 5.7476 5.8524 10.3629
angles: 73.76 90.00 90.00
Closest atoms and distances in Å follow each position.
Sites, in units of the cell vectors:
Ag (0.2500, 0.0086, 0.7090)  8 Pt 2.87-3.00, 2 Ag 2.91-3.17
Ag (0.2500, 0.4914, 0.7910)  8 Pt 2.87-3.00, 2 Ag 2.91-3.17
Ag (0.7500, 0.5086, 0.2090)  8 Pt 2.87-3.00, 2 Ag 2.91-3.17
Ag (0.7500, 0.9914, 0.2910)  8 Pt 2.87-3.00, 2 Ag 2.91-3.17
P (0.7500, 0.0905, 0.9136)  6 Pt 2.33-2.35
P (0.2500, 0.5905, 0.4136)  6 Pt 2.33-2.35
P (0.7500, 0.4095, 0.5864)  6 Pt 2.33-2.35
P (0.2500, 0.9095, 0.0864)  6 Pt 2.33-2.35
Pt (0.9948, 0.7450, 0.5421)  2 P 2.33-2.35
Pt (0.0052, 0.2450, 0.0421)  2 P 2.33-2.35
Pt (0.2500, 0.5049, 0.2072)  2 P 2.33-2.35
Pt (0.5052, 0.7550, 0.9579)  2 P 2.33-2.35
Pt (0.7500, 0.0049, 0.7072)  2 P 2.33-2.35
Pt (0.0052, 0.2550, 0.4579)  2 P 2.33-2.35
Pt (0.5052, 0.7450, 0.5421)  2 P 2.33-2.35
Pt (0.2500, 0.9951, 0.2928)  2 P 2.33-2.35
Pt (0.4948, 0.2450, 0.0421)  2 P 2.33-2.35
Pt (0.7500, 0.4951, 0.7928)  2 P 2.33-2.35
Pt (0.9948, 0.7550, 0.9579)  2 P 2.33-2.35
Pt (0.4948, 0.2550, 0.4579)  2 P 2.33-2.35

Theoretical density (g/cm3): 14.4
Magnetization (μB/atom): 0.0000
Calculated volume (Å³/cell): 335
Raw total energy (eV/atom): -5.532
SG: C2/m
E above lowest polymorph (meV per atom): 0
E_form (eV per atom): -0.2557
Crystal system: monoclinic
D(E_F) (states/eV/f.u.): 1.4